# 1
Entry from the Alexandria database: a relaxed LiTi2Mo crystal (PBE-GGA).

Cell lengths 3.2258, 3.2258, 6.3631 Å; angles 90.00, 90.00, 90.00 degrees
With the nearest neighbours (Å) after each atom.
Space group P4/mmm (No. 123)
One atom of each set of equivalent atoms:
Li (0.0000, 0.0000, 0.0000)  8 Ti 2.88, 2 Mo 3.18
Ti (0.5000, 0.5000, 0.2758)  4 Mo 2.69, 1 Ti 2.85, 4 Li 2.88
Mo (0.0000, 0.0000, 0.5000)  8 Ti 2.69

Results
Calculated density   5.0 g/cm³
Energy above the lowest structure with this stoichiometry   0.04 eV/f.u.
Spin magnetization   0.0 μB per cell

# 2
Entry from the Alexandria database: a relaxed Cr3RuPb crystal (PBE-GGA).

Cell lengths 4.7284, 4.7284, 4.7284 Å; angles 90.00, 90.00, 90.00 degrees
With the nearest neighbours (Å) after each atom.
Space group Pm-3m (No. 221)
One atom of each set of equivalent atoms:
Cr (0.0000, 0.0000, 0.5000)  2 Ru 2.36
Ru (0.0000, 0.0000, 0.0000)  6 Cr 2.36
Pb (0.5000, 0.5000, 0.5000)  12 Cr 3.34

Results
Calculated density   7.3 g/cm³
Energy above the lowest structure with this stoichiometry   0.00 eV/f.u.
Spin magnetization   9.4 μB per cell

# 3
Entry from the Alexandria database: a relaxed MgZr2Rh crystal (PBE-GGA).

Cell lengths 3.1540, 3.1540, 28.6009 Å; angles 90.00, 90.00, 120.00 degrees
With the nearest neighbours (Å) after each atom.
Space group R-3m (No. 166, hexagonal axes)
One atom of each set of equivalent atoms:
Mg (0.0000, 0.0000, 0.0000)  6 Mg 3.15, 6 Zr 3.22
Zr (0.0000, 0.0000, 0.2407)  3 Rh 2.79
Rh (0.0000, 0.0000, 0.5000)  6 Zr 2.79

Results
Calculated density   6.3 g/cm³
Energy above the lowest structure with this stoichiometry   0.95 eV/f.u.
Spin magnetization   0.0 μB per cell

# 4
Entry from the Alexandria database: a relaxed Sr2CaGaPt crystal (PBE-GGA).

Cell lengths 5.9779, 5.9779, 4.9123 Å; angles 90.00, 90.00, 90.00 degrees
With the nearest neighbours (Å) after each atom.
Space group P4/mmm (No. 123)
One atom of each set of equivalent atoms:
Sr (0.0000, 0.5000, 0.0000)  2 Pt 2.99
Ca (0.0000, 0.0000, 0.5000)  8 Sr 3.87, 4 Ga 4.23
Ga (0.5000, 0.5000, 0.5000)  2 Pt 2.46
Pt (0.5000, 0.5000, 0.0000)  2 Ga 2.46

Results
Calculated density   4.5 g/cm³
Spin magnetization   0.0 μB per cell

# 5
Entry from the Alexandria database: a relaxed TiNiP3 crystal (PBE-GGA).

Cell lengths 4.6179, 4.6179, 4.6179 Å; angles 90.00, 90.00, 90.00 degrees
With the nearest neighbours (Å) after each atom.
Space group Pm-3m (No. 221)
One atom of each set of equivalent atoms:
Ti (0.0000, 0.0000, 0.0000)  6 P 2.31
Ni (0.5000, 0.5000, 0.5000)  12 P 3.27
P (0.0000, 0.0000, 0.5000)  2 Ti 2.31

Results
Calculated density   3.4 g/cm³
Energy above the lowest structure with this stoichiometry   1.28 eV/f.u.
Spin magnetization   0.0 μB per cell

# 6
Entry from the Alexandria database: a relaxed CuTcHg2Bi crystal (PBE-GGA).

Cell lengths 4.9124, 4.9124, 5.3311 Å; angles 90.00, 90.00, 90.00 degrees
With the nearest neighbours (Å) after each atom.
Space group P4/mmm (No. 123)
One atom of each set of equivalent atoms:
Cu (0.0000, 0.0000, 0.0000)  4 Hg 2.46, 2 Bi 2.67
Tc (0.5000, 0.5000, 0.5000)  4 Bi 3.47, 8 Hg 3.62
Hg (0.0000, 0.5000, 0.0000)  2 Cu 2.46
Bi (0.0000, 0.0000, 0.5000)  2 Cu 2.67

Results
Calculated density   10.0 g/cm³
Spin magnetization   3.9 μB per cell

| no. | ΔE_f (eV per atom) |
| --- | --- |
| 1 | 0.090 |
| 2 | 1.078 |
| 3 | -0.169 |
| 4 | -0.394 |
| 5 | 0.658 |
| 6 | 0.985 |